Record 1
VASP calculation (meta-GGA SCAN) on CoRe2Te at its PBEsol-relaxed geometry.

abc: 3.0665 4.1230 5.6081
angles: 111.51 105.80 90.18
With the nearest neighbours (Å) after each atom.
Fractional coordinates of all 4 atoms:
Re 0.0000 0.0000 0.5000  4 Re 2.57, 2 Te 2.80, 2 Co 2.80
Re 0.5000 0.5000 0.5000  4 Re 2.57, 2 Co 2.80, 2 Te 2.80
Co 0.5000 0.5000 0.0000  4 Te 2.57, 4 Re 2.80
Te 0.0000 0.0000 0.0000  4 Co 2.57, 4 Re 2.80

Results
The symmetry is C2/m. The calculation puts the energy at -48.32 eV per atom. The density of states at the Fermi level is 3.3 states/eV/cell.

Record 2
VASP calculation (meta-GGA SCAN) on MoPtN2F at its PBEsol-relaxed geometry.

abc: 3.9195 3.9195 4.0300
angles: 90.00 90.00 90.00
With the nearest neighbours (Å) after each atom.
Fractional coordinates of all 5 atoms:
F 0.0000 0.0000 0.5000  2 Pt 2.01
Pt 0.0000 0.0000 0.0000  4 N 1.96, 2 F 2.01
Mo 0.5000 0.5000 0.5000  4 F 2.77, 8 N 2.81
N 0.5000 0.0000 0.0000  2 Pt 1.96
N 0.0000 0.5000 0.0000  2 Pt 1.96

Results
The symmetry is P4/mmm. The calculation puts the energy at -24.39 eV per atom. The density of states at the Fermi level is 1.7 states/eV/cell.

Record 3
VASP calculation (meta-GGA SCAN) on CdTeOsN2 at its PBEsol-relaxed geometry.

abc: 3.8711 3.8711 5.7217
angles: 90.00 90.00 90.00
With the nearest neighbours (Å) after each atom.
Fractional coordinates of all 5 atoms:
Te 0.0000 0.0000 0.5000  4 Cd 2.74, 2 Os 2.86
N 0.5000 0.0000 0.0000  2 Os 1.94
N 0.0000 0.5000 0.0000  2 Os 1.94
Cd 0.5000 0.5000 0.5000  4 Te 2.74
Os 0.0000 0.0000 0.0000  4 N 1.94

Results
The symmetry is P4/mmm. The calculation puts the energy at -31.02 eV per atom. The density of states at the Fermi level is 1.8 states/eV/cell.

Record 4
VASP calculation (meta-GGA SCAN) on CdH2I at its PBEsol-relaxed geometry.

abc: 5.9070 5.9070 5.9070
angles: 60.00 60.00 60.00
With the nearest neighbours (Å) after each atom.
Fractional coordinates of all 8 atoms:
I 0.5000 0.5000 0.5000  12 H 3.46, 4 Cd 3.62, 4 I 3.62
I 0.7500 0.7500 0.7500  12 H 3.46, 4 I 3.62, 4 Cd 3.62
Cd 0.2500 0.2500 0.2500  4 H 1.81
Cd 0.0000 0.0000 0.0000  4 H 1.81
H 0.1250 0.1250 0.1250  2 Cd 1.81
H 0.1250 0.6250 0.1250  2 Cd 1.81
H 0.1250 0.1250 0.6250  2 Cd 1.81
H 0.6250 0.1250 0.1250  2 Cd 1.81

Results
The symmetry is Fd-3m. The calculation puts the energy at -18.16 eV per atom. The density of states at the Fermi level is 3.1 states/eV/cell.

Record 5
VASP calculation (meta-GGA SCAN) on Li3FeSi6O15 at its PBEsol-relaxed geometry.

abc: 9.8723 9.8723 14.2587
angles: 90.00 90.00 120.00
With the nearest neighbours (Å) after each atom.
Fractional coordinates of all 100 atoms:
O 0.6563 0.1695 0.1749  1 Si 1.59
O 0.8305 0.3437 0.6749  1 Si 1.59
O 0.0475 0.7695 0.1259  2 Si 1.63
O 0.9525 0.2305 0.1259  2 Si 1.63
O 0.5132 0.3437 0.1749  1 Si 1.59
O 0.2305 0.2780 0.8741  2 Si 1.63
O 0.1695 0.5132 0.1749  1 Si 1.59
O 0.8358 0.5655 0.0000  2 Si 1.66
O 0.4868 0.8305 0.3251  1 Si 1.59
O 0.7695 0.0475 0.3741  2 Si 1.63
O 0.7695 0.7220 0.8741  2 Si 1.63
O 0.9525 0.7220 0.3741  2 Si 1.63
O 0.8305 0.4868 0.8251  1 Si 1.59
O 0.2305 0.9525 0.3741  2 Si 1.63
O 0.1695 0.6563 0.6749  1 Si 1.59
O 0.4868 0.6563 0.1749  1 Si 1.59
O 0.7220 0.7695 0.6259  2 Si 1.63
O 0.5132 0.3437 0.8251  1 Si 1.59
O 0.5655 0.7298 0.0000  2 Si 1.66
O 0.0475 0.7695 0.8741  2 Si 1.63
O 0.0475 0.2780 0.3741  2 Si 1.63
O 0.7695 0.0475 0.6259  2 Si 1.63
O 0.4345 0.2702 0.0000  2 Si 1.66
O 0.5132 0.1695 0.3251  1 Si 1.59
O 0.7220 0.9525 0.8741  2 Si 1.63
O 0.1642 0.7298 0.5000  2 Si 1.66
O 0.4868 0.8305 0.6749  1 Si 1.59
O 0.8305 0.3437 0.3251  1 Si 1.59
O 0.3437 0.5132 0.6749  1 Si 1.59
O 0.5655 0.8358 0.5000  2 Si 1.66
O 0.2780 0.2305 0.6259  2 Si 1.63
O 0.6563 0.4868 0.3251  1 Si 1.59
O 0.2702 0.8358 0.0000  2 Si 1.66
O 0.4345 0.1642 0.5000  2 Si 1.66
O 0.3437 0.8305 0.1749  1 Si 1.59
O 0.2305 0.2780 0.1259  2 Si 1.63
O 0.3437 0.5132 0.3251  1 Si 1.59
O 0.2780 0.0475 0.8741  2 Si 1.63
O 0.4868 0.6563 0.8251  1 Si 1.59
O 0.0475 0.2780 0.6259  2 Si 1.63
O 0.2305 0.9525 0.6259  2 Si 1.63
O 0.7298 0.5655 0.5000  2 Si 1.66
O 0.8358 0.2702 0.5000  2 Si 1.66
O 0.9525 0.2305 0.8741  2 Si 1.63
O 0.1695 0.5132 0.8251  1 Si 1.59
O 0.6563 0.4868 0.6749  1 Si 1.59
O 0.2780 0.2305 0.3741  2 Si 1.63
O 0.7220 0.9525 0.1259  2 Si 1.63
O 0.7695 0.7220 0.1259  2 Si 1.63
O 0.3437 0.8305 0.8251  1 Si 1.59
O 0.1695 0.6563 0.3251  1 Si 1.59
O 0.7298 0.1642 0.0000  2 Si 1.66
O 0.5132 0.1695 0.6749  1 Si 1.59
O 0.7220 0.7695 0.3741  2 Si 1.63
O 0.2702 0.4345 0.5000  2 Si 1.66
O 0.8305 0.4868 0.1749  1 Si 1.59
O 0.2780 0.0475 0.1259  2 Si 1.63
O 0.9525 0.7220 0.6259  2 Si 1.63
O 0.1642 0.4345 0.0000  2 Si 1.66
O 0.6563 0.1695 0.8251  1 Si 1.59
Li 0.0000 0.0000 0.2500  12 O 3.10
Li 0.5000 0.0000 0.2500  4 O 1.94
Li 0.5000 0.5000 0.2500  4 O 1.94
Li 0.6667 0.3333 0.5000  3 O 2.05
Li 0.3333 0.6667 0.0000  3 O 2.05
Li 0.6667 0.3333 0.0000  3 O 2.05
Li 0.5000 0.5000 0.7500  4 O 1.94
Li 0.0000 0.5000 0.7500  4 O 1.94
Li 0.3333 0.6667 0.5000  3 O 2.05
Li 0.0000 0.5000 0.2500  4 O 1.94
Li 0.0000 0.0000 0.7500  12 O 3.10
Li 0.5000 0.0000 0.7500  4 O 1.94
Si 0.8670 0.2358 0.6095  4 O 1.59-1.66
Si 0.3688 0.2358 0.8905  4 O 1.59-1.66
Si 0.2358 0.3688 0.3905  4 O 1.59-1.66
Si 0.7642 0.1330 0.8905  4 O 1.59-1.66
Si 0.8670 0.6312 0.8905  4 O 1.59-1.66
Si 0.1330 0.3688 0.1095  4 O 1.59-1.66
Si 0.8670 0.2358 0.3905  4 O 1.59-1.66
Si 0.1330 0.3688 0.8905  4 O 1.59-1.66
Si 0.1330 0.7642 0.6095  4 O 1.59-1.66
Si 0.6312 0.7642 0.8905  4 O 1.59-1.66
Si 0.7642 0.6312 0.3905  4 O 1.59-1.66
Si 0.6312 0.7642 0.1095  4 O 1.59-1.66
Si 0.6312 0.8670 0.6095  4 O 1.59-1.66
Si 0.3688 0.2358 0.1095  4 O 1.59-1.66
Si 0.2358 0.8670 0.1095  4 O 1.59-1.66
Si 0.3688 0.1330 0.6095  4 O 1.59-1.66
Si 0.2358 0.3688 0.6095  4 O 1.59-1.66
Si 0.8670 0.6312 0.1095  4 O 1.59-1.66
Si 0.6312 0.8670 0.3905  4 O 1.59-1.66
Si 0.2358 0.8670 0.8905  4 O 1.59-1.66
Si 0.3688 0.1330 0.3905  4 O 1.59-1.66
Si 0.7642 0.1330 0.1095  4 O 1.59-1.66
Si 0.7642 0.6312 0.6095  4 O 1.59-1.66
Si 0.1330 0.7642 0.3905  4 O 1.59-1.66
Fe 0.6667 0.3333 0.7500  6 O 1.90
Fe 0.6667 0.3333 0.2500  6 O 1.90
Fe 0.3333 0.6667 0.2500  6 O 1.90
Fe 0.3333 0.6667 0.7500  6 O 1.90

Results
As for the excess energy over the best structure of this formula in the dataset: 0.012 eV/atom. The symmetry is P6/mcc. The calculation puts the energy at -9.89 eV per atom. The density of states at the Fermi level is 0.0 states/eV/cell.

Record 6
VASP calculation (meta-GGA SCAN) on TaMnCd at its PBEsol-relaxed geometry.

abc: 4.2414 4.2414 4.2414
angles: 60.00 60.00 60.00
With the nearest neighbours (Å) after each atom.
Fractional coordinates of all 3 atoms:
Cd 0.5000 0.5000 0.5000  4 Mn 2.60
Ta 0.0000 0.0000 0.0000  4 Mn 2.60
Mn 0.2500 0.2500 0.2500  4 Cd 2.60, 4 Ta 2.60

Results
As for the excess energy over the best structure of this formula in the dataset: 0.000 eV/atom. The symmetry is F-43m. The calculation puts the energy at -37.68 eV per atom. The density of states at the Fermi level is 3.6 states/eV/cell. Its formation energy from the elements is 0.73 eV per atom.

Copy entry 3 word for word.
VASP calculation (meta-GGA SCAN) on CdTeOsN2 at its PBEsol-relaxed geometry.

abc: 3.8711 3.8711 5.7217
angles: 90.00 90.00 90.00
With the nearest neighbours (Å) after each atom.
Fractional coordinates of all 5 atoms:
Te 0.0000 0.0000 0.5000  4 Cd 2.74, 2 Os 2.86
N 0.5000 0.0000 0.0000  2 Os 1.94
N 0.0000 0.5000 0.0000  2 Os 1.94
Cd 0.5000 0.5000 0.5000  4 Te 2.74
Os 0.0000 0.0000 0.0000  4 N 1.94

Results
The symmetry is P4/mmm. The calculation puts the energy at -31.02 eV per atom. The density of states at the Fermi level is 1.8 states/eV/cell.

Question: The highest energy belongs to which entry?
Answer: Li3FeSi6O15

Question: What is the energy in the sixth record?
Answer: -37.68 eV per atom

Question: Look up the energy of the third one.
Answer: -31.02 eV per atom